# RbVCrO6

RbVCrO6 after structural relaxation (GGA+U, Alexandria).

a = 5.032 Å, b = 5.032 Å, c = 6.364 Å
α = 90.00°, β = 90.00°, γ = 60.00°
Fractional positions:
Rb  0.000  0.000  0.009
V  0.667  0.667  0.449
Cr  0.333  0.333  0.548
O  0.009  0.390  0.331
O  0.386  0.008  0.667
O  0.606  0.386  0.667
O  0.008  0.606  0.667
O  0.390  0.601  0.331
O  0.601  0.009  0.331

The calculated total energy is -6.5745 eV/atom. The crystal system is trigonal. Its space group is P3 (143). The total magnetic moment comes out at 0.00 μB/atom.